No. 1
A relaxed structure of ReHgAs2, computed with PBE-GGA.

Output
total DFT energy (no corrections) = -4.613 eV per atom
DFT formation energy = 347 kJ/mol of formula units
density of states at the Fermi level = 3.53 states/eV/f.u.
size of the total moment = 0.01 μB/f.u.

a b c (Å): 4.0096 4.0096 8.9602
angles (deg): 90.00 90.00 90.00
Space group I-4m2 (No. 119)
One atom of each set of equivalent atoms:
Re1 0.0000 0.0000 0.0000 [2 per cell]
Hg1 0.0000 0.5000 0.2500 [2 per cell]
As1 0.0000 0.0000 0.5000 [2 per cell]
As2 0.0000 0.5000 0.7500 [2 per cell]

---

No. 2
A relaxed structure of CuReTc4, computed with PBE-GGA.

Output
total DFT energy (no corrections) = -9.228 eV per atom
DFT formation energy = 255 kJ/mol of formula units
density of states at the Fermi level = 4.45 states/eV/f.u.
size of the total moment = 0.00 μB/f.u.

a b c (Å): 7.1388 7.1388 7.1388
angles (deg): 90.00 90.00 90.00
Space group F-43m (No. 216)
One atom of each set of equivalent atoms:
Cu1 0.0000 0.0000 0.0000 [4 per cell]
Re1 0.2500 0.2500 0.7500 [4 per cell]
Tc1 0.1259 0.1259 0.3741 [16 per cell]

---

No. 3
A relaxed structure of TbNd4Pb4, computed with PBE-GGA.

Output
total DFT energy (no corrections) = -4.595 eV per atom
DFT formation energy = -272 kJ/mol of formula units
density of states at the Fermi level = 7.25 states/eV/f.u.
size of the total moment = 0.00 μB/f.u.

a b c (Å): 9.6668 9.6668 6.5460
angles (deg): 90.00 90.00 90.00
Space group P4_2/n (No. 86, origin choice 2)
One atom of each set of equivalent atoms:
Tb1 0.2500 0.2500 0.2500 [2 per cell]
Nd1 0.0292 0.6686 0.1222 [8 per cell]
Pb1 0.0284 0.6519 0.6144 [8 per cell]

---

No. 4
A relaxed structure of LiSn4Au3, computed with PBE-GGA.

Output
total DFT energy (no corrections) = -3.756 eV per atom
DFT formation energy = -221 kJ/mol of formula units
density of states at the Fermi level = 1.77 states/eV/f.u.
size of the total moment = 0.00 μB/f.u.

a b c (Å): 4.6049 4.6049 20.6959
angles (deg): 90.00 90.00 120.00
Space group P6_3mc (No. 186)
One atom of each set of equivalent atoms:
Li1 0.3333 0.6667 0.0000 [2 per cell]
Sn1 0.0000 0.0000 0.0854 [2 per cell]
Sn2 0.0000 0.0000 0.3161 [2 per cell]
Sn3 0.3333 0.6667 0.4152 [2 per cell]
Sn4 0.3333 0.6667 0.6950 [2 per cell]
Au1 0.0000 0.0000 0.4530 [2 per cell]
Au2 0.3333 0.6667 0.1328 [2 per cell]
Au3 0.3333 0.6667 0.2741 [2 per cell]

---

No. 5
A relaxed structure of Pt2WAu2, computed with PBE-GGA.

Output
total DFT energy (no corrections) = -5.947 eV per atom
DFT formation energy = 179 kJ/mol of formula units
density of states at the Fermi level = 1.04 states/eV/f.u.
size of the total moment = 0.00 μB/f.u.
relative energy among the computed polymorphs = 0 meV per atom

a b c (Å): 6.7287 6.7287 3.9311
angles (deg): 90.00 90.00 90.00
Space group P4/mbm (No. 127)
One atom of each set of equivalent atoms:
Pt1 0.1391 0.3609 0.0000 [4 per cell]
W1 0.0000 0.0000 0.0000 [2 per cell]
Au1 0.1650 0.6650 0.5000 [4 per cell]

---

No. 6
A relaxed structure of LiSbTe2Mo, computed with PBE-GGA.

Output
total DFT energy (no corrections) = -4.353 eV per atom
density of states at the Fermi level = 5.10 states/eV/f.u.
size of the total moment = 0.51 μB/f.u.
formation energy (no corrections) = 277 meV per atom
relative energy among the computed polymorphs = 0 meV per atom

a b c (Å): 5.4202 5.4202 5.2540
angles (deg): 90.00 90.00 90.00
Space group P4/mmm (No. 123)
One atom of each set of equivalent atoms:
Li1 0.0000 0.0000 0.0000 [1 per cell]
Sb1 0.5000 0.5000 0.0000 [1 per cell]
Te1 0.0000 0.5000 0.5000 [2 per cell]
Mo1 0.5000 0.5000 0.5000 [1 per cell]

---

No. 7
A relaxed structure of Y2InAu, computed with PBE-GGA.

Output
total DFT energy (no corrections) = -5.037 eV per atom
DFT formation energy = -116 kJ/mol of formula units
density of states at the Fermi level = 2.79 states/eV/f.u.
size of the total moment = 0.78 μB/f.u.

a b c (Å): 3.7253 3.7253 28.0546
angles (deg): 90.00 90.00 120.00
Space group R3m (No. 160, hexagonal axes)
One atom of each set of equivalent atoms:
Y1 0.0000 0.0000 0.0000 [3 per cell]
Y2 0.0000 0.0000 0.2292 [3 per cell]
In1 0.0000 0.0000 0.7557 [3 per cell]
Au1 0.0000 0.0000 0.4908 [3 per cell]

---

No. 8
A relaxed structure of Rb2YIrN, computed with PBE-GGA.

Output
total DFT energy (no corrections) = -4.565 eV per atom
density of states at the Fermi level = 4.96 states/eV/f.u.
size of the total moment = 0.00 μB/f.u.
formation energy (no corrections) = 552 meV per atom

a b c (Å): 6.5165 6.5165 3.7233
angles (deg): 90.00 90.00 90.00
Space group P4/mmm (No. 123)
One atom of each set of equivalent atoms:
Rb1 0.0000 0.5000 0.0000 [2 per cell]
Y1 0.0000 0.0000 0.5000 [1 per cell]
Ir1 0.5000 0.5000 0.5000 [1 per cell]
N1 0.5000 0.5000 0.0000 [1 per cell]

---

No. 9
A relaxed structure of ThCuSiPt6, computed with PBE-GGA.

Output
total DFT energy (no corrections) = -6.376 eV per atom
density of states at the Fermi level = 4.51 states/eV/f.u.
size of the total moment = 0.00 μB/f.u.
formation energy (no corrections) = -466 meV per atom

a b c (Å): 7.1228 8.7546 11.2149
angles (deg): 90.00 90.00 90.00
Space group Imma (No. 74)
One atom of each set of equivalent atoms:
Th1 0.0000 0.2500 0.1480 [4 per cell]
Cu1 0.2500 0.2500 0.7500 [4 per cell]
Si1 0.0000 0.0000 0.5000 [4 per cell]
Pt1 0.0000 0.2500 0.4069 [4 per cell]
Pt2 0.0000 0.2500 0.9022 [4 per cell]
Pt3 0.2387 0.0091 0.8743 [16 per cell]

---

No. 10
A relaxed structure of YGePt4, computed with PBE-GGA.

Output
total DFT energy (no corrections) = -6.509 eV per atom
DFT formation energy = -368 kJ/mol of formula units
density of states at the Fermi level = 3.07 states/eV/f.u.
size of the total moment = 0.00 μB/f.u.
relative energy among the computed polymorphs = 130 meV per atom

a b c (Å): 4.6169 5.5410 9.0894
angles (deg): 72.49 77.45 89.98
Space group P-1 (No. 2)
One atom of each set of equivalent atoms:
Y1 0.2505 0.2286 0.4987 [2 per cell]
Ge1 0.0000 0.5000 0.0000 [1 per cell]
Ge2 0.5000 0.0000 0.0000 [1 per cell]
Pt1 0.1004 0.9753 0.8410 [2 per cell]
Pt2 0.1610 0.5415 0.7054 [2 per cell]
Pt3 0.3391 0.7486 0.2955 [2 per cell]
Pt4 0.3998 0.3175 0.1571 [2 per cell]

---

No. 11
A relaxed structure of Na2PPbSe4, computed with PBE-GGA.

Output
total DFT energy (no corrections) = -3.661 eV per atom
density of states at the Fermi level = 2.40 states/eV/f.u.
size of the total moment = 0.00 μB/f.u.
formation energy (no corrections) = -449 meV per atom

a b c (Å): 8.0299 8.3961 11.6786
angles (deg): 90.00 90.00 90.00
Space group Imma (No. 74)
One atom of each set of equivalent atoms:
Na1 0.0000 0.0000 0.0000 [4 per cell]
Na2 0.2500 0.2500 0.2500 [4 per cell]
P1 0.2500 0.2500 0.7500 [4 per cell]
Pb1 0.0000 0.0000 0.5000 [4 per cell]
Se1 0.0000 0.0353 0.7530 [8 per cell]
Se2 0.2428 0.2500 0.9782 [8 per cell]

---

No. 12
A relaxed structure of HfPt2WI, computed with PBE-GGA.

Output
total DFT energy (no corrections) = -5.834 eV per atom
density of states at the Fermi level = 4.30 states/eV/f.u.
size of the total moment = 2.79 μB/f.u.
formation energy (no corrections) = 1473 meV per atom

a b c (Å): 4.9534 4.9534 5.2830
angles (deg): 90.00 90.00 90.00
Space group P4/mmm (No. 123)
One atom of each set of equivalent atoms:
Hf1 0.0000 0.0000 0.0000 [1 per cell]
Pt1 0.0000 0.5000 0.0000 [2 per cell]
W1 0.0000 0.0000 0.5000 [1 per cell]
I1 0.5000 0.5000 0.5000 [1 per cell]